No. 1
Ac2PtSe: optimized geometry, PBE-GGA.

Output
E_tot   -0.217 Ha/atom
Symmetry   P-3m1
Raw formation energy   -1465 meV/atom
Size of the total moment   0.00 μB/f.u.
Energy relative to the lowest polymorph listed for this composition   0.0548 eV per atom

a = 4.3969 Å, b = 4.3969 Å, c = 7.7257 Å
α = 90.00°, β = 90.00°, γ = 120.00°
Positions (direct):
Ac1 0.3333 0.6667 0.2255
Ac2 0.6667 0.3333 0.7745
Pt1 0.0000 0.0000 0.0000
Se1 0.0000 0.0000 0.5000

***

No. 2
Ac2PtSe: optimized geometry, PBE-GGA.

Output
E_tot   -0.219 Ha/atom
Symmetry   R-3m
Raw formation energy   -1520 meV/atom
Size of the total moment   0.00 μB/f.u.
Energy relative to the lowest polymorph listed for this composition   0.0000 eV per atom

a = 8.1770 Å, b = 8.1770 Å, c = 8.1770 Å
α = 30.94°, β = 30.94°, γ = 30.94°
Positions (direct):
Ac1 0.2422 0.2422 0.2422
Ac2 0.7578 0.7578 0.7578
Pt1 0.5000 0.5000 0.5000
Se1 0.0000 0.0000 0.0000